Entry 1:
The following is a GGA-PBE calculation of crystalline PuMnBe2H8 at its relaxed geometry, from the Alexandria database.

```
PuMnBe2H8
1.0
4.0813 0.0000 0.0000
-2.0407 3.5345 0.0000
0.0000 0.0000 5.8308
Pu Mn Be H
1 1 2 8
direct
0.0000 0.0000 0.0000
0.0000 0.0000 0.5000
0.3333 0.6667 0.6412
0.6667 0.3333 0.3588
0.0448 0.7072 0.3337
0.2928 0.3376 0.3337
0.3333 0.6667 0.9286
0.3376 0.0448 0.6663
0.6624 0.9552 0.3337
0.6667 0.3333 0.0714
0.7072 0.6624 0.6663
0.9552 0.2928 0.6663
```

The uncorrected energy is -59.69 eV/cell. Its symmetry is P-3 (147). The value obtained for the volume is 7.01 A^3/atom.

=====

Entry 2:
The following is a GGA-PBE calculation of crystalline Mn2BeHRh at its relaxed geometry, from the Alexandria database.

```
Mn2BeHRh
1.0
3.5408 0.0000 0.0000
0.0000 3.5408 0.0000
0.0000 0.0000 3.8879
Mn Be H Rh
2 1 1 1
direct
0.0000 0.5000 0.0000
0.5000 0.0000 0.0000
0.0000 0.0000 0.5000
0.0000 0.0000 0.0000
0.5000 0.5000 0.5000
```

The uncorrected energy is -33.07 eV/cell. Its symmetry is P4/mmm (123). The value obtained for the volume is 9.75 A^3/atom. The value obtained for the relative energy among the computed polymorphs is 0.0 meV/atom.

=====

Entry 3:
The following is a GGA-PBE calculation of crystalline Mn2BeHRh at its relaxed geometry, from the Alexandria database.

```
Mn2BeHRh
1.0
3.6087 0.0000 0.0000
0.0000 3.6087 0.0000
0.0000 0.0000 3.8331
Mn Be H Rh
2 1 1 1
direct
0.0000 0.5000 0.0000
0.5000 0.0000 0.0000
0.0000 0.0000 0.5000
0.5000 0.5000 0.0000
0.5000 0.5000 0.5000
```

The uncorrected energy is -33.02 eV/cell. Its symmetry is P4/mmm (123). The value obtained for the volume is 9.98 A^3/atom. The value obtained for the relative energy among the computed polymorphs is 9.2 meV/atom.